[1]
A relaxed CeHoTlPb crystal, computed with PBE.

Summary:
crystal system = tetragonal
energy relative to the lowest polymorph listed for this composition = 0.0 meV/atom
energy of formation = -0.347 eV per atom

Unit cell a=5.059 b=5.059 c=5.708 alpha=116.31 beta=116.31 gamma=90.00
Site moments in Bohr magnetons follow the coordinates.
Fractional positions:
Tl 0.500 0.500 0.000  0.01
Ho 0.250 0.750 0.500  0.29
Pb 0.000 0.000 0.000  0.00
Ce 0.750 0.250 0.500  0.98

---

[2]
A relaxed CeHoZnPb crystal, computed with PBE.

Summary:
crystal system = cubic
energy of formation = -0.307 eV per atom

Unit cell a=5.302 b=5.302 c=5.302 alpha=60.00 beta=60.00 gamma=60.00
Site moments in Bohr magnetons follow the coordinates.
Fractional positions:
Ce 0.250 0.250 0.250  0.80
Ho 0.750 0.750 0.750  0.06
Zn 0.500 0.500 0.500  0.01
Pb 0.000 0.000 0.000  0.00

---

[3]
A relaxed CeHo2Pd crystal, computed with PBE.

Summary:
crystal system = tetragonal
energy relative to the lowest polymorph listed for this composition = 0.0 meV/atom
energy of formation = -0.385 eV per atom

Unit cell a=3.510 b=3.510 c=8.428 alpha=90.00 beta=90.00 gamma=90.00
Site moments in Bohr magnetons follow the coordinates.
Fractional positions:
Ho 0.000 0.000 0.800  0.06
Ce 0.500 0.500 0.500  0.67
Pd 0.500 0.500 0.000  0.00
Ho 0.000 0.000 0.200  0.06

---

| no. | calculated density (Mg/m³) | uncorrected energy (eV/cell) |
| --- | --- | --- |
| 1 | 10.45 | -18.0 |
| 2 | 9.10 | -16.7 |
| 3 | 9.22 | -21.8 |